# 1
! RbZrBe2F8 | Alexandria | PBE-GGA | optimized geometry; values from VASP
&SYSTEM
  ibrav = 0, nat = 12, ntyp = 4
/
ATOMIC_SPECIES
Rb 85.47 Rb.upf
Zr 91.22 Zr.upf
Be 9.01 Be.upf
F 19.00 F.upf
CELL_PARAMETERS angstrom
2.537 1.465 8.177
-2.537 1.465 8.177
0.000 -2.929 8.177
ATOMIC_POSITIONS angstrom
Rb 0.000 0.000 0.000
Zr 0.000 0.000 12.266
Be 0.000 0.000 6.001
Be 0.000 0.000 18.531
F -1.068 -1.337 10.960
F -1.691 0.256 13.573
F 0.000 0.000 7.487
F 0.624 -1.593 13.573
F -0.624 1.593 10.960
F 0.000 0.000 17.045
F 1.691 -0.256 10.960
F 1.068 1.337 13.573
! * E_form (uncorrected): -3.20 eV per atom

# 2
! Rb3PtS2 | Alexandria | PBE-GGA | optimized geometry; values from VASP
&SYSTEM
  ibrav = 0, nat = 12, ntyp = 3
/
ATOMIC_SPECIES
Rb 85.47 Rb.upf
Pt 195.08 Pt.upf
S 32.06 S.upf
CELL_PARAMETERS angstrom
8.178 0.000 0.000
0.000 9.211 0.000
0.000 0.000 5.610
ATOMIC_POSITIONS angstrom
Rb 0.000 0.000 0.000
Rb 0.742 2.591 2.805
Rb 3.348 7.196 0.000
Rb 4.089 4.605 2.805
Rb 4.831 2.015 0.000
Rb 7.437 6.620 2.805
Pt 0.000 4.605 0.000
Pt 4.089 0.000 2.805
S 1.941 8.526 2.805
S 2.148 3.921 0.000
S 6.030 5.290 0.000
S 6.237 0.685 2.805
! * E_form (uncorrected): -0.78 eV per atom

# 3
! GaPbN2 | Alexandria | PBE-GGA | optimized geometry; values from VASP
&SYSTEM
  ibrav = 0, nat = 4, ntyp = 3
/
ATOMIC_SPECIES
Ga 69.72 Ga.upf
Pb 207.20 Pb.upf
N 14.01 N.upf
CELL_PARAMETERS angstrom
1.630 0.941 6.317
-1.630 0.941 6.317
0.000 -1.882 6.317
ATOMIC_POSITIONS angstrom
Ga 0.000 0.000 0.000
Pb 0.000 0.000 9.476
N 0.000 0.000 7.289
N 0.000 0.000 11.662
! * distance to the lowest polymorph of the same formula: 1.69 eV per formula unit
! * E_form (uncorrected): 0.72 eV per atom

# 4
! BaZr2Rh | Alexandria | PBE-GGA | optimized geometry; values from VASP
&SYSTEM
  ibrav = 0, nat = 4, ntyp = 3
/
ATOMIC_SPECIES
Ba 137.33 Ba.upf
Zr 91.22 Zr.upf
Rh 102.91 Rh.upf
CELL_PARAMETERS angstrom
-2.151 2.151 5.060
2.151 -2.151 5.060
2.151 2.151 -5.060
ATOMIC_POSITIONS angstrom
Ba 0.000 0.000 0.000
Zr 0.000 0.000 5.060
Zr 0.000 2.151 2.530
Rh 2.151 0.000 2.530
! * distance to the lowest polymorph of the same formula: 2.49 eV per formula unit

# 5
Entry from Alexandria: LiHoCoGe after structural relaxation (PBE-GGA). Values from VASP.

Quantum ESPRESSO input file:
```
&SYSTEM
  ibrav = 0, nat = 4, ntyp = 4
/
ATOMIC_SPECIES
Li 6.94 Li.upf
Ho 164.93 Ho.upf
Co 58.93 Co.upf
Ge 72.64 Ge.upf
CELL_PARAMETERS angstrom
0.000 3.139 3.139
3.139 0.000 3.139
3.139 3.139 0.000
ATOMIC_POSITIONS angstrom
Li 0.000 0.000 0.000
Ho 1.570 1.570 1.570
Co 3.139 3.139 3.139
Ge 4.709 4.709 4.709
```

# 6
! CsLiMo3 | Alexandria | PBE-GGA | optimized geometry; values from VASP
&SYSTEM
  ibrav = 0, nat = 5, ntyp = 3
/
ATOMIC_SPECIES
Cs 132.91 Cs.upf
Li 6.94 Li.upf
Mo 95.94 Mo.upf
CELL_PARAMETERS angstrom
4.560 0.000 0.000
0.000 4.560 0.000
0.000 0.000 4.560
ATOMIC_POSITIONS angstrom
Cs 0.000 0.000 0.000
Li 2.280 2.280 2.280
Mo 0.000 2.280 2.280
Mo 2.280 0.000 2.280
Mo 2.280 2.280 0.000
! * distance to the lowest polymorph of the same formula: 0.00 eV per formula unit

Calculated values (eV/atom) of E_tot for the records, taken in order: -5.8621 -3.6486 -5.1273 -6.0660 -4.9186 -4.6876.
Calculated values (g cm⁻³) of calculated density for the records, taken in order: 3.16 4.05 8.71 7.49 8.14 7.49.